No. 1
This record from Alexandria describes Cd2SbOs after structural relaxation. The functional is GGA-PBEsol.

```
4
Lattice="3.118 0.000 0.000 0.000 3.118 0.000 0.000 0.000 8.398" Properties=species:S:1:pos:R:3 pbc="T T T"
Cd 0.000 0.000 0.000
Cd 1.559 1.559 2.200
Sb 1.559 1.559 5.588
Os 0.000 0.000 4.050
```

Output
The total magnetization is 0.0 Bohr magnetons per cell. The calculation puts the uncorrected formation energy at 0.288 eV/atom.

***

No. 2
This record from Alexandria describes CdSb2Os after structural relaxation. The functional is GGA-PBEsol.

```
4
Lattice="-2.352 2.352 3.576 2.352 -2.352 3.576 2.352 2.352 -3.576" Properties=species:S:1:pos:R:3 pbc="T T T"
Cd 0.000 0.000 0.000
Sb 2.352 0.000 1.788
Sb 0.000 2.352 1.788
Os 0.000 0.000 3.576
```

Output
The total magnetization is 0.0 Bohr magnetons per cell. The calculation puts the uncorrected formation energy at 0.525 eV/atom.

***

No. 3
This record from Alexandria describes CdSb2Os after structural relaxation. The functional is GGA-PBEsol.

```
4
Lattice="-1.556 2.343 6.144 1.556 -2.343 6.144 1.556 2.343 -6.144" Properties=species:S:1:pos:R:3 pbc="T T T"
Cd 0.000 0.000 0.000
Sb 1.556 0.000 3.961
Sb 0.000 2.343 2.183
Os 0.000 0.000 6.144
```

Output
The total magnetization is 0.0 Bohr magnetons per cell. The calculation puts the uncorrected formation energy at 0.257 eV/atom.

***

No. 4
This record from Alexandria describes Cd2SbOs after structural relaxation. The functional is GGA-PBEsol.

```
4
Lattice="3.091 0.000 0.000 0.000 5.361 0.000 -0.348 0.000 4.644" Properties=species:S:1:pos:R:3 pbc="T T T"
Cd 0.680 0.000 1.135
Cd 2.063 0.000 3.510
Sb 1.372 2.681 2.322
Os 0.000 2.681 0.000
```

Output
The total magnetization is 0.4 Bohr magnetons per cell. The calculation puts the uncorrected formation energy at 0.545 eV/atom.

***

No. 5
This record from Alexandria describes CdSb2Os after structural relaxation. The functional is GGA-PBEsol.

```
4
Lattice="1.574 0.909 10.221 -1.574 0.909 10.221 0.000 -1.817 10.221" Properties=species:S:1:pos:R:3 pbc="T T T"
Cd 0.000 0.000 0.000
Sb 0.000 0.000 7.164
Sb 0.000 0.000 23.501
Os 0.000 0.000 15.332
```

Output
The total magnetization is 0.0 Bohr magnetons per cell. The calculation puts the uncorrected formation energy at 0.312 eV/atom.

***

No. 6
This record from Alexandria describes CdSb2TeOs after structural relaxation. The functional is GGA-PBEsol.

```
5
Lattice="4.950 0.000 0.000 0.000 4.950 0.000 0.000 0.000 5.791" Properties=species:S:1:pos:R:3 pbc="T T T"
Cd 0.000 0.000 0.000
Sb 0.000 2.475 2.895
Sb 2.475 0.000 2.895
Te 2.475 2.475 0.000
Os 2.475 2.475 2.895
```

Output
The total magnetization is 0.0 Bohr magnetons per cell. The calculation puts the uncorrected formation energy at 0.616 eV/atom.

***

No. 7
This record from Alexandria describes ScCdOs2 after structural relaxation. The functional is GGA-PBEsol.

```
4
Lattice="2.761 -3.971 0.000 2.761 3.971 0.000 0.000 0.000 2.954" Properties=species:S:1:pos:R:3 pbc="T T T"
Sc 0.000 0.000 0.000
Cd 2.761 0.000 0.000
Os 1.380 1.986 1.477
Os 1.380 -1.986 1.477
```

Output
The total DFT energy (no corrections) is -7.71 eV/atom. The total magnetization is 0.0 Bohr magnetons per cell.

***

No. 8
This record from Alexandria describes ScCdOs2 after structural relaxation. The functional is GGA-PBEsol.

```
4
Lattice="2.788 0.000 0.000 0.000 2.788 0.000 0.000 0.000 8.418" Properties=species:S:1:pos:R:3 pbc="T T T"
Sc 0.000 0.000 0.000
Cd 0.000 0.000 4.209
Os 1.394 1.394 2.069
Os 1.394 1.394 6.349
```

Output
The total DFT energy (no corrections) is -7.65 eV/atom. The total magnetization is 0.0 Bohr magnetons per cell.

***

No. 9
This record from Alexandria describes CdOsSe after structural relaxation. The functional is GGA-PBEsol.

```
3
Lattice="0.000 3.076 3.076 3.076 0.000 3.076 3.076 3.076 0.000" Properties=species:S:1:pos:R:3 pbc="T T T"
Cd 0.000 0.000 0.000
Os 4.614 4.614 4.614
Se 3.076 3.076 3.076
```

Output
The total magnetization is 0.0 Bohr magnetons per cell. The calculation puts the uncorrected formation energy at 0.760 eV/atom.

***

No. 10
This record from Alexandria describes CdOs2Se after structural relaxation. The functional is GGA-PBEsol.

```
4
Lattice="2.871 0.000 0.000 0.000 2.871 0.000 0.000 0.000 8.162" Properties=species:S:1:pos:R:3 pbc="T T T"
Cd 0.000 0.000 0.000
Os 0.000 0.000 3.705
Os 1.436 1.436 2.036
Se 1.436 1.436 5.453
```

Output
The total magnetization is 0.0 Bohr magnetons per cell. The calculation puts the uncorrected formation energy at 0.359 eV/atom.

***

No. 11
This record from Alexandria describes CdOs2Se after structural relaxation. The functional is GGA-PBEsol.

```
4
Lattice="0.000 3.136 3.136 3.136 0.000 3.136 3.136 3.136 0.000" Properties=species:S:1:pos:R:3 pbc="T T T"
Cd 0.000 0.000 0.000
Os 1.568 1.568 1.568
Os 4.705 4.705 4.705
Se 3.136 3.136 3.136
```

Output
The total magnetization is 0.0 Bohr magnetons per cell. The calculation puts the uncorrected formation energy at 0.944 eV/atom.

***

No. 12
This record from Alexandria describes CdOsSe after structural relaxation. The functional is GGA-PBEsol.

```
3
Lattice="3.097 0.000 0.000 -1.548 2.682 0.000 0.000 0.000 6.440" Properties=species:S:1:pos:R:3 pbc="T T T"
Cd 0.000 0.000 0.000
Os 0.000 1.788 4.237
Se 1.548 0.894 2.573
```

Output
The total magnetization is 0.0 Bohr magnetons per cell. The calculation puts the uncorrected formation energy at 0.297 eV/atom.

***

No. 13
This record from Alexandria describes CdOs2Se2 after structural relaxation. The functional is GGA-PBEsol.

```
5
Lattice="-1.969 1.969 7.210 1.969 -1.969 7.210 1.969 1.969 -7.210" Properties=species:S:1:pos:R:3 pbc="T T T"
Cd 0.000 0.000 0.000
Os 1.969 0.000 3.605
Os 0.000 1.969 3.605
Se 0.000 0.000 5.041
Se 0.000 0.000 9.378
```

Output
The total magnetization is 0.0 Bohr magnetons per cell. The calculation puts the uncorrected formation energy at 0.367 eV/atom.

***

No. 14
This record from Alexandria describes Cd4OsSe after structural relaxation. The functional is GGA-PBEsol.

```
6
Lattice="0.000 3.857 3.857 3.857 0.000 3.857 3.857 3.857 0.000" Properties=species:S:1:pos:R:3 pbc="T T T"
Cd 0.967 0.967 0.967
Cd 2.889 2.889 0.967
Cd 2.889 0.967 2.889
Cd 0.967 2.889 2.889
Os 3.857 3.857 3.857
Se 5.785 5.785 5.785
```

Output
The total magnetization is 0.0 Bohr magnetons per cell. The calculation puts the uncorrected formation energy at 0.712 eV/atom.

***

No. 15
This record from Alexandria describes CdOsSe2 after structural relaxation. The functional is GGA-PBEsol.

```
4
Lattice="0.000 3.284 3.284 3.284 0.000 3.284 3.284 3.284 0.000" Properties=species:S:1:pos:R:3 pbc="T T T"
Cd 0.000 0.000 0.000
Os 4.927 4.927 4.927
Se 1.642 1.642 1.642
Se 3.284 3.284 3.284
```

Output
The total magnetization is 0.0 Bohr magnetons per cell. The calculation puts the uncorrected formation energy at 0.926 eV/atom.

***

No. 16
This record from Alexandria describes Cd3OsSe after structural relaxation. The functional is GGA-PBEsol.

```
5
Lattice="5.111 0.000 0.000 0.000 5.111 0.000 0.000 0.000 5.111" Properties=species:S:1:pos:R:3 pbc="T T T"
Cd 0.000 0.000 2.556
Cd 0.000 2.556 0.000
Cd 2.556 0.000 0.000
Os 0.000 0.000 0.000
Se 2.556 2.556 2.556
```

Output
The total magnetization is 1.5 Bohr magnetons per cell. The calculation puts the uncorrected formation energy at 1.063 eV/atom.

***

No. 17
This record from Alexandria describes CdOs2Se after structural relaxation. The functional is GGA-PBEsol.

```
4
Lattice="0.000 3.179 3.179 3.179 0.000 3.179 3.179 3.179 0.000" Properties=species:S:1:pos:R:3 pbc="T T T"
Cd 0.000 0.000 0.000
Os 1.590 1.590 1.590
Os 3.179 3.179 3.179
Se 4.769 4.769 4.769
```

Output
The total magnetization is 0.0 Bohr magnetons per cell. The calculation puts the uncorrected formation energy at 1.016 eV/atom.

***

No. 18
This record from Alexandria describes CdSiOs2 after structural relaxation. The functional is GGA-PBEsol.

```
4
Lattice="2.797 0.000 0.000 0.000 2.797 0.000 0.000 0.000 8.072" Properties=species:S:1:pos:R:3 pbc="T T T"
Cd 0.000 0.000 0.000
Si 1.399 1.399 5.535
Os 0.000 0.000 3.843
Os 1.399 1.399 2.133
```

Output
The total magnetization is 0.0 Bohr magnetons per cell. The calculation puts the uncorrected formation energy at 0.222 eV/atom.

***

No. 19
This record from Alexandria describes CdSi3Os after structural relaxation. The functional is GGA-PBEsol.

```
5
Lattice="4.656 0.000 0.000 0.000 4.656 0.000 0.000 0.000 4.656" Properties=species:S:1:pos:R:3 pbc="T T T"
Cd 0.000 0.000 0.000
Si 0.000 2.328 2.328
Si 2.328 0.000 2.328
Si 2.328 2.328 0.000
Os 2.328 2.328 2.328
```

Output
The total magnetization is 0.0 Bohr magnetons per cell. The calculation puts the uncorrected formation energy at 0.483 eV/atom.

***

No. 20
This record from Alexandria describes CdSiOs2 after structural relaxation. The functional is GGA-PBEsol.

```
4
Lattice="-1.925 1.925 3.972 1.925 -1.925 3.972 1.925 1.925 -3.972" Properties=species:S:1:pos:R:3 pbc="T T T"
Cd 0.000 0.000 0.000
Si 1.925 0.000 1.986
Os 0.000 0.000 3.972
Os 0.000 1.925 1.986
```

Output
The total magnetization is 0.0 Bohr magnetons per cell. The calculation puts the uncorrected formation energy at 0.583 eV/atom.

***

No. 21
This record from Alexandria describes CdSiOs2 after structural relaxation. The functional is GGA-PBEsol.

```
4
Lattice="0.000 3.108 3.108 3.108 0.000 3.108 3.108 3.108 0.000" Properties=species:S:1:pos:R:3 pbc="T T T"
Cd 0.000 0.000 0.000
Si 4.661 4.661 4.661
Os 1.554 1.554 1.554
Os 3.108 3.108 3.108
```

Output
The total magnetization is 0.0 Bohr magnetons per cell. The calculation puts the uncorrected formation energy at 0.721 eV/atom.

***

No. 22
This record from Alexandria describes CdSiOs after structural relaxation. The functional is GGA-PBEsol.

```
3
Lattice="4.090 0.000 0.000 -2.045 3.542 0.000 0.000 0.000 3.326" Properties=species:S:1:pos:R:3 pbc="T T T"
Cd 0.000 0.000 0.000
Si 2.045 1.181 1.663
Os 0.000 2.361 1.663
```

Output
The total magnetization is 0.0 Bohr magnetons per cell. The calculation puts the uncorrected formation energy at 0.114 eV/atom.

***

No. 23
This record from Alexandria describes SrCdOs3 after structural relaxation. The functional is GGA-PBEsol.

```
5
Lattice="4.785 0.000 0.000 0.000 4.785 0.000 0.000 0.000 4.785" Properties=species:S:1:pos:R:3 pbc="T T T"
Sr 0.000 0.000 0.000
Cd 2.392 2.392 2.392
Os 0.000 0.000 2.392
Os 0.000 2.392 0.000
Os 2.392 0.000 0.000
```

Output
The total DFT energy (no corrections) is -4.41 eV/atom. The total magnetization is 1.4 Bohr magnetons per cell.

***

No. 24
This record from Alexandria describes TaCdOs after structural relaxation. The functional is GGA-PBEsol.

```
3
Lattice="0.000 2.341 7.104 1.536 0.000 7.104 1.536 2.341 0.000" Properties=species:S:1:pos:R:3 pbc="T T T"
Ta 0.000 0.000 0.000
Cd 1.536 2.341 9.664
Os 1.536 2.341 5.008
```

Output
The total DFT energy (no corrections) is -8.35 eV/atom. The total magnetization is 0.0 Bohr magnetons per cell.

***

No. 25
This record from Alexandria describes TaCd3Os after structural relaxation. The functional is GGA-PBEsol.

```
5
Lattice="4.995 0.000 0.000 0.000 4.995 0.000 0.000 0.000 4.995" Properties=species:S:1:pos:R:3 pbc="T T T"
Ta 0.000 0.000 0.000
Cd 0.000 2.498 2.498
Cd 2.498 0.000 2.498
Cd 2.498 2.498 0.000
Os 2.498 2.498 2.498
```

Output
The total DFT energy (no corrections) is -3.87 eV/atom. The total magnetization is 3.0 Bohr magnetons per cell.

***

No. 26
This record from Alexandria describes TaCdOs2 after structural relaxation. The functional is GGA-PBEsol.

```
4
Lattice="3.164 0.000 0.000 0.000 3.164 0.000 0.000 0.000 6.437" Properties=species:S:1:pos:R:3 pbc="T T T"
Ta 0.000 0.000 0.000
Cd 0.000 0.000 3.218
Os 1.582 1.582 1.492
Os 1.582 1.582 4.945
```

Output
The total DFT energy (no corrections) is -9.42 eV/atom. The total magnetization is 0.0 Bohr magnetons per cell.

***

No. 27
This record from Alexandria describes TaCdOs2 after structural relaxation. The functional is GGA-PBEsol.

```
4
Lattice="-1.601 2.204 4.518 1.601 -2.204 4.518 1.601 2.204 -4.518" Properties=species:S:1:pos:R:3 pbc="T T T"
Ta 0.000 0.000 0.000
Cd 1.601 0.000 2.394
Os 0.000 0.000 4.712
Os 0.000 2.204 2.414
```

Output
The total DFT energy (no corrections) is -9.20 eV/atom. The total magnetization is 0.0 Bohr magnetons per cell.

***

No. 28
This record from Alexandria describes ZrTaCdOs2 after structural relaxation. The functional is GGA-PBEsol.

```
5
Lattice="4.720 0.000 0.000 0.000 4.720 0.000 0.000 0.000 4.779" Properties=species:S:1:pos:R:3 pbc="T T T"
Zr 0.000 0.000 0.000
Ta 2.360 2.360 0.000
Cd 0.000 0.000 2.389
Os 0.000 2.360 2.389
Os 2.360 0.000 2.389
```

Output
The total DFT energy (no corrections) is -7.09 eV/atom. The total magnetization is 0.0 Bohr magnetons per cell.

***

No. 29
This record from Alexandria describes CdTcOs after structural relaxation. The functional is GGA-PBEsol.

```
3
Lattice="0.000 2.997 2.997 2.997 0.000 2.997 2.997 2.997 0.000" Properties=species:S:1:pos:R:3 pbc="T T T"
Cd 0.000 0.000 0.000
Tc 4.496 4.496 4.496
Os 2.997 2.997 2.997
```

Output
The total DFT energy (no corrections) is -7.30 eV/atom. The total magnetization is 0.0 Bohr magnetons per cell.

***

No. 30
This record from Alexandria describes CdTc2Os after structural relaxation. The functional is GGA-PBEsol.

```
4
Lattice="2.708 -3.993 0.000 2.708 3.993 0.000 0.000 0.000 2.755" Properties=species:S:1:pos:R:3 pbc="T T T"
Cd 0.000 0.000 0.000
Tc 1.354 1.996 1.378
Tc 1.354 -1.996 1.378
Os 2.708 0.000 0.000
```

Output
The total DFT energy (no corrections) is -8.47 eV/atom. The total magnetization is 0.0 Bohr magnetons per cell.